Computed, not measured: crystalline SrIr2Se at its relaxed geometry at the PBE level of DFT.

a = 5.7166 Å, b = 5.7166 Å, c = 5.7166 Å
α = 139.27°, β = 139.27°, γ = 58.97°
Fractional coordinates of all 4 atoms:
1 Sr 0.0000 0.0000 0.0000
2 Ir 0.2500 0.7500 0.5000
3 Ir 0.7500 0.2500 0.5000
4 Se 0.5000 0.5000 0.0000

Output
SG   No. 139
ΔE_f (raw)   0.30 eV per atom

***

Computed, not measured: crystalline YZrCd at its relaxed geometry at the PBE level of DFT.

a = 4.9694 Å, b = 4.9694 Å, c = 4.9694 Å
α = 60.00°, β = 60.00°, γ = 60.00°
Fractional coordinates of all 3 atoms:
1 Y 0.0000 0.0000 0.0000
2 Zr 0.5000 0.5000 0.5000
3 Cd 0.7500 0.7500 0.7500

Output
SG   No. 216
Energy relative to the lowest polymorph listed for this composition   516 meV per atom
Formation energy   348 meV/atom

***

Computed, not measured: crystalline Rb2ScWI6 at its relaxed geometry at the PBE level of DFT.

a = 8.1400 Å, b = 8.1400 Å, c = 8.1400 Å
α = 119.97°, β = 119.97°, γ = 90.06°
Fractional coordinates of all 10 atoms:
1 Rb 0.2500 0.7500 0.5000
2 Rb 0.7500 0.2500 0.5000
3 Sc 0.0000 0.0000 0.0000
4 W 0.5000 0.5000 0.0000
5 I 0.2563 0.2563 0.0000
6 I 0.2562 0.2562 0.5124
7 I 0.2562 0.7438 0.0000
8 I 0.7438 0.2562 0.0000
9 I 0.7437 0.7437 0.0000
10 I 0.7438 0.7438 0.4876

Output
SG   No. 139
ΔE_f (raw)   -0.59 eV per atom

***

What is the formula in the first record?
SrIr2Se